1.
# GaSiNiOs

Crystalline GaSiNiOs at its relaxed geometry (PBE, Alexandria via LeMat-Bulk).

Cell lengths 3.0077, 3.0077, 5.6773 Å; angles 90.00, 90.00, 90.00 degrees
Atoms (fractional coordinates):
Ga 0.0000 0.0000 0.0000
Si 0.0000 0.0000 0.4822
Ni 0.5000 0.5000 0.2386
Os 0.5000 0.5000 0.7129

Calculated values
The calculation puts the density of states at the Fermi level at 0.36 states/eV/atom. The calculation puts the energy relative to the elements, uncorrected at -0.267 eV/atom. The value obtained for the calculated volume is 12.84 Å³ per atom. The value obtained for the final energy is -26.530 eV for the cell shown. The value obtained for the excess energy over the best structure of this formula in the dataset is 0 meV/atom.

2.
# ZrAlCu6

Crystalline ZrAlCu6 at its relaxed geometry (PBE, Alexandria via LeMat-Bulk).

Cell lengths 3.3942, 3.3942, 10.5184 Å; angles 90.00, 90.00, 90.00 degrees
Atoms (fractional coordinates):
Zr 0.0000 0.0000 0.0000
Al 0.0000 0.0000 0.5000
Cu 0.0000 0.5000 0.2111
Cu 0.0000 0.5000 0.7889
Cu 0.5000 0.0000 0.2111
Cu 0.5000 0.0000 0.7889
Cu 0.5000 0.5000 0.3877
Cu 0.5000 0.5000 0.6123

Calculated values
The calculation puts the density of states at the Fermi level at 0.65 states/eV/atom. The value obtained for the calculated volume is 15.15 Å³ per atom. The value obtained for the final energy is -35.393 eV for the cell shown. The value obtained for the excess energy over the best structure of this formula in the dataset is 144 meV/atom.

3.
# Nd3Ho4Hg4

Crystalline Nd3Ho4Hg4 at its relaxed geometry (PBE, Alexandria via LeMat-Bulk).

Cell lengths 9.4884, 9.4884, 9.4884 Å; angles 149.79, 130.65, 58.96 degrees
Atoms (fractional coordinates):
Nd 0.0000 0.0000 0.0000
Nd 0.3896 0.8896 0.5000
Nd 0.6104 0.1104 0.5000
Ho 0.0386 0.3260 0.7125
Ho 0.3865 0.6740 0.7125
Ho 0.6135 0.3260 0.2875
Ho 0.9614 0.6740 0.2875
Hg 0.2112 0.2112 0.0000
Hg 0.3047 0.5000 0.8047
Hg 0.6953 0.5000 0.1953
Hg 0.7888 0.7888 0.0000

Calculated values
The calculation puts the density of states at the Fermi level at 0.79 states/eV/atom. The value obtained for the calculated volume is 29.41 Å³ per atom. The value obtained for the final energy is -36.987 eV for the cell shown.

4.
# PmTmInTc

Crystalline PmTmInTc at its relaxed geometry (PBE, Alexandria via LeMat-Bulk).

Cell lengths 5.1089, 5.1089, 5.1089 Å; angles 60.00, 60.00, 60.00 degrees
Atoms (fractional coordinates):
Pm 0.0000 0.0000 0.0000
Tm 0.5000 0.5000 0.5000
In 0.7500 0.7500 0.7500
Tc 0.2500 0.2500 0.2500

Calculated values
The calculation puts the density of states at the Fermi level at 0.82 states/eV/atom. The value obtained for the calculated volume is 23.57 Å³ per atom. The value obtained for the final energy is -22.732 eV for the cell shown.

5.
# Tb4PmY6

Crystalline Tb4PmY6 at its relaxed geometry (PBE, Alexandria via LeMat-Bulk).

Cell lengths 8.5014, 8.5014, 8.5014 Å; angles 126.36, 126.36, 79.30 degrees
Atoms (fractional coordinates):
Tb 0.2579 0.2579 0.6665
Tb 0.4086 0.7421 0.0000
Tb 0.5914 0.5914 0.3335
Tb 0.7421 0.4086 0.0000
Pm 0.0000 0.0000 0.0000
Y 0.0000 0.5000 0.5000
Y 0.0581 0.5681 0.0000
Y 0.4319 0.4319 0.4900
Y 0.5000 0.0000 0.5000
Y 0.5681 0.0581 0.0000
Y 0.9419 0.9419 0.5100

Calculated values
The calculation puts the density of states at the Fermi level at 1.40 states/eV/atom. The value obtained for the calculated volume is 35.02 Å³ per atom. The value obtained for the final energy is -57.338 eV for the cell shown. The value obtained for the excess energy over the best structure of this formula in the dataset is 312 meV/atom.

6.
# Nb2V9W

Crystalline Nb2V9W at its relaxed geometry (PBE, Alexandria via LeMat-Bulk).

Cell lengths 8.4994, 8.4994, 8.4994 Å; angles 34.80, 34.80, 34.80 degrees
Atoms (fractional coordinates):
Nb 0.1441 0.1441 0.1441
Nb 0.8559 0.8559 0.8559
V 0.0812 0.5828 0.5828
V 0.3325 0.3325 0.3325
V 0.4172 0.4172 0.9188
V 0.4172 0.9188 0.4172
V 0.5000 0.5000 0.5000
V 0.5828 0.0812 0.5828
V 0.5828 0.5828 0.0812
V 0.6675 0.6675 0.6675
V 0.9188 0.4172 0.4172
W 0.0000 0.0000 0.0000

Calculated values
The calculation puts the density of states at the Fermi level at 1.20 states/eV/atom. The value obtained for the calculated volume is 14.87 Å³ per atom. The value obtained for the final energy is -113.125 eV for the cell shown.

7.
# Ce2Ho6Tm5

Crystalline Ce2Ho6Tm5 at its relaxed geometry (PBE, Alexandria via LeMat-Bulk).

Cell lengths 11.4721, 20.0263, 3.5317 Å; angles 90.00, 90.00, 90.00 degrees
Atoms (fractional coordinates):
Ce 0.1745 0.2225 0.0000
Ce 0.3255 0.7225 0.0000
Ce 0.6745 0.2775 0.0000
Ce 0.8255 0.7775 0.0000
Ho 0.0653 0.9270 0.0000
Ho 0.0755 0.6393 0.0000
Ho 0.1803 0.3737 0.5000
Ho 0.3197 0.8737 0.5000
Ho 0.4245 0.1393 0.0000
Ho 0.4347 0.4270 0.0000
Ho 0.5653 0.5730 0.0000
Ho 0.5755 0.8607 0.0000
Ho 0.6803 0.1263 0.5000
Ho 0.8197 0.6263 0.5000
Ho 0.9245 0.3607 0.0000
Ho 0.9347 0.0730 0.0000
Tm 0.0000 0.5000 0.5000
Tm 0.0859 0.7827 0.5000
Tm 0.1982 0.0610 0.5000
Tm 0.3018 0.5610 0.5000
Tm 0.4141 0.2827 0.5000
Tm 0.5000 0.0000 0.5000
Tm 0.5859 0.7173 0.5000
Tm 0.6982 0.4390 0.5000
Tm 0.8018 0.9390 0.5000
Tm 0.9141 0.2173 0.5000

Calculated values
The calculation puts the density of states at the Fermi level at 1.76 states/eV/atom. The value obtained for the calculated volume is 31.21 Å³ per atom. The value obtained for the final energy is -119.895 eV for the cell shown.

8.
# CeErP2Rh2

Crystalline CeErP2Rh2 at its relaxed geometry (PBE, Alexandria via LeMat-Bulk).

Cell lengths 4.0921, 4.0921, 7.6919 Å; angles 90.00, 90.00, 120.00 degrees
Atoms (fractional coordinates):
Ce 0.0000 0.0000 0.0000
Er 0.0000 0.0000 0.5000
P 0.3333 0.6667 0.2645
P 0.6667 0.3333 0.7355
Rh 0.3333 0.6667 0.7542
Rh 0.6667 0.3333 0.2458

Calculated values
The calculation puts the density of states at the Fermi level at 0.64 states/eV/atom. The value obtained for the calculated volume is 18.59 Å³ per atom. The value obtained for the final energy is -43.508 eV for the cell shown.